KRb2Tl3Cl6 | the Alexandria database | PBE | relaxed; raw total energy = -3.248 eV per atom; formation energy from raw total energies = -1481 meV per atom; D(E_F) = 0.00 states/eV/cell
1.0
10.084 -2.318 0.000
10.084 2.318 0.000
-2.079 0.000 9.021
K Rb Tl Cl
1 2 3 6
Direct
0.000 0.000 0.000
0.334 0.334 0.671
0.666 0.666 0.329
0.000 0.000 0.500
0.335 0.335 0.167
0.665 0.665 0.833
0.163 0.163 0.074
0.166 0.166 0.584
0.497 0.497 0.241
0.503 0.503 0.759
0.834 0.834 0.416
0.837 0.837 0.926